P) RbAlPb3: optimized geometry, PBE.

a = 5.6786 Å, b = 5.6786 Å, c = 5.6786 Å
α = 90.00°, β = 90.00°, γ = 90.00°
With the nearest neighbours (Å) after each atom.
Element x y z (fractional)
Rb 0.0000 0.0000 0.0000  12 Pb 4.02
Al 0.5000 0.5000 0.5000  6 Pb 2.84
Pb 0.0000 0.5000 0.5000  2 Al 2.84
Pb 0.5000 0.0000 0.5000  2 Al 2.84
Pb 0.5000 0.5000 0.0000  2 Al 2.84

Values from the calculation:
total magnetic moment	0.00	μB/f.u.
space group	Pm-3m

***

Q) RbAlPb3: optimized geometry, PBE.

a = 6.1676 Å, b = 6.1676 Å, c = 6.1676 Å
α = 90.00°, β = 90.00°, γ = 90.00°
With the nearest neighbours (Å) after each atom.
Element x y z (fractional)
Rb 0.0000 0.0000 0.0000  6 Pb 3.08
Al 0.5000 0.5000 0.5000  12 Pb 4.36
Pb 0.0000 0.0000 0.5000  2 Rb 3.08
Pb 0.0000 0.5000 0.0000  2 Rb 3.08
Pb 0.5000 0.0000 0.0000  2 Rb 3.08

Values from the calculation:
total magnetic moment	0.00	μB/f.u.
space group	Pm-3m

***

How far above the most stable structure does each one sit? In meV/atom: P) 0; Q) 1098.

***

P) Rb2AlPb: optimized geometry, PBE.

a = 10.2167 Å, b = 10.2167 Å, c = 10.2167 Å
α = 94.00°, β = 94.00°, γ = 149.38°
With the nearest neighbours (Å) after each atom.
Element x y z (fractional)
Rb 0.3750 0.0820 0.2070  2 Al 3.60
Rb 0.8320 0.6250 0.7070  2 Al 3.60
Rb 0.8750 0.1680 0.7930  2 Al 3.60
Rb 0.9180 0.1250 0.2930  2 Al 3.60
Al 0.0000 0.0000 0.0000  2 Pb 2.70
Al 0.7500 0.2500 0.5000  2 Pb 2.70
Pb 0.2500 0.7500 0.5000  2 Al 2.70
Pb 0.5000 0.5000 0.0000  2 Al 2.70

Values from the calculation:
total magnetic moment	0.00	μB/f.u.
space group	I-42d

***

Q) Rb2AlPb: optimized geometry, PBE.

a = 6.1491 Å, b = 6.1491 Å, c = 6.1491 Å
α = 60.00°, β = 60.00°, γ = 60.00°
With the nearest neighbours (Å) after each atom.
Element x y z (fractional)
Rb 0.2500 0.2500 0.2500  4 Pb 3.77, 4 Al 3.77
Rb 0.7500 0.7500 0.7500  4 Pb 3.77, 4 Al 3.77
Al 0.0000 0.0000 0.0000  8 Rb 3.77
Pb 0.5000 0.5000 0.5000  8 Rb 3.77

Values from the calculation:
total magnetic moment	0.00	μB/f.u.
space group	Fm-3m

***

How far above the most stable structure does each one sit? In meV/atom: P) 0; Q) 192.

***

P) Rb2AlPb2: optimized geometry, PBE.

a = 8.8353 Å, b = 8.8353 Å, c = 8.8353 Å
α = 147.23°, β = 147.23°, γ = 47.03°
With the nearest neighbours (Å) after each atom.
Element x y z (fractional)
Rb 0.2500 0.7500 0.5000  4 Rb 3.53, 4 Pb 3.64
Rb 0.7500 0.2500 0.5000  4 Rb 3.53, 4 Pb 3.64
Al 0.0000 0.0000 0.0000  8 Pb 3.79
Pb 0.4137 0.4137 0.0000  1 Pb 2.80
Pb 0.5863 0.5863 0.0000  1 Pb 2.80

Values from the calculation:
total magnetic moment	0.00	μB/f.u.
space group	I4/mmm

***

Q) Rb2AlPb2: optimized geometry, PBE.

a = 9.8491 Å, b = 9.8491 Å, c = 4.2981 Å
α = 90.00°, β = 90.00°, γ = 90.00°
With the nearest neighbours (Å) after each atom.
Element x y z (fractional)
Rb 0.1907 0.3093 0.0000  6 Pb 3.53-3.74
Rb 0.3093 0.8093 0.0000  6 Pb 3.53-3.74
Rb 0.6907 0.1907 0.0000  6 Pb 3.53-3.74
Rb 0.8093 0.6907 0.0000  6 Pb 3.53-3.74
Al 0.0000 0.0000 0.5000  4 Pb 4.00, 8 Rb 4.17, 2 Al 4.30
Al 0.5000 0.5000 0.5000  4 Pb 4.00, 8 Rb 4.17, 2 Al 4.30
Pb 0.1086 0.6086 0.5000  1 Pb 3.03
Pb 0.3914 0.1086 0.5000  1 Pb 3.03
Pb 0.6086 0.8914 0.5000  1 Pb 3.03
Pb 0.8914 0.3914 0.5000  1 Pb 3.03

Values from the calculation:
total magnetic moment	0.00	μB/f.u.
space group	P4/mbm

***

How far above the most stable structure does each one sit? In meV/atom: P) 104; Q) 0.

***

P) AlRePb: optimized geometry, PBE.

a = 4.4859 Å, b = 4.4859 Å, c = 4.4859 Å
α = 60.00°, β = 60.00°, γ = 60.00°
With the nearest neighbours (Å) after each atom.
Element x y z (fractional)
Al 0.0000 0.0000 0.0000  4 Re 2.75
Re 0.7500 0.7500 0.7500  4 Pb 2.75, 4 Al 2.75
Pb 0.5000 0.5000 0.5000  4 Re 2.75

Values from the calculation:
total magnetic moment	0.00	μB/f.u.
space group	F-43m

***

Q) AlRePb: optimized geometry, PBE.

a = 5.2377 Å, b = 5.2377 Å, c = 5.2377 Å
α = 141.96°, β = 141.96°, γ = 54.89°
With the nearest neighbours (Å) after each atom.
Element x y z (fractional)
Al 0.0000 0.0000 0.0000  4 Re 2.65, 1 Pb 2.83
Re 0.3817 0.3817 0.0000  4 Al 2.65, 1 Pb 2.92
Pb 0.6954 0.6954 0.0000  5 Al 2.83-3.02, 5 Re 2.92-2.97

Values from the calculation:
total magnetic moment	0.00	μB/f.u.
space group	I4mm

***

How far above the most stable structure does each one sit? In meV/atom: P) 365; Q) 0.

***

P) AlRePb: optimized geometry, PBE.

a = 4.3888 Å, b = 4.3888 Å, c = 3.4989 Å
α = 90.00°, β = 90.00°, γ = 120.00°
With the nearest neighbours (Å) after each atom.
Element x y z (fractional)
Al 0.0000 0.0000 0.0000  3 Re 2.53
Re 0.3333 0.6667 0.0000  3 Al 2.53
Pb 0.6667 0.3333 0.5000  6 Al 3.08, 6 Re 3.08

Values from the calculation:
total magnetic moment	0.00	μB/f.u.
space group	P-6m2

***

Q) AlRePb: optimized geometry, PBE.

a = 3.1437 Å, b = 3.1437 Å, c = 6.7952 Å
α = 90.00°, β = 90.00°, γ = 120.00°
With the nearest neighbours (Å) after each atom.
Element x y z (fractional)
Al 0.0000 0.0000 0.0000  3 Re 2.57
Re 0.3333 0.6667 0.7327  3 Al 2.57
Pb 0.6667 0.3333 0.3936  3 Re 2.93, 6 Pb 3.14, 3 Al 3.23

Values from the calculation:
total magnetic moment	0.00	μB/f.u.
space group	P3m1

***

How far above the most stable structure does each one sit? In meV/atom: P) 149; Q) 0.

***

P) AlRePb3: optimized geometry, PBE.

a = 5.3412 Å, b = 5.3412 Å, c = 5.3412 Å
α = 90.00°, β = 90.00°, γ = 90.00°
With the nearest neighbours (Å) after each atom.
Element x y z (fractional)
Al 0.0000 0.0000 0.0000  6 Pb 2.67
Re 0.5000 0.5000 0.5000  12 Pb 3.78
Pb 0.0000 0.0000 0.5000  2 Al 2.67
Pb 0.0000 0.5000 0.0000  2 Al 2.67
Pb 0.5000 0.0000 0.0000  2 Al 2.67

Values from the calculation:
total magnetic moment	3.84	μB/f.u.
space group	Pm-3m

***

Q) AlRePb3: optimized geometry, PBE.

a = 5.3541 Å, b = 5.3541 Å, c = 5.3541 Å
α = 90.00°, β = 90.00°, γ = 90.00°
With the nearest neighbours (Å) after each atom.
Element x y z (fractional)
Al 0.0000 0.0000 0.0000  12 Pb 3.79
Re 0.5000 0.5000 0.5000  6 Pb 2.68
Pb 0.0000 0.5000 0.5000  2 Re 2.68
Pb 0.5000 0.0000 0.5000  2 Re 2.68
Pb 0.5000 0.5000 0.0000  2 Re 2.68

Values from the calculation:
total magnetic moment	0.83	μB/f.u.
space group	Pm-3m

***

How far above the most stable structure does each one sit? In meV/atom: P) 706; Q) 0.

***

P) AlRhPb3: optimized geometry, PBE.

a = 5.2984 Å, b = 5.2984 Å, c = 5.2984 Å
α = 90.00°, β = 90.00°, γ = 90.00°
With the nearest neighbours (Å) after each atom.
Element x y z (fractional)
Al 0.0000 0.0000 0.0000  12 Pb 3.75
Rh 0.5000 0.5000 0.5000  6 Pb 2.65
Pb 0.0000 0.5000 0.5000  2 Rh 2.65
Pb 0.5000 0.0000 0.5000  2 Rh 2.65
Pb 0.5000 0.5000 0.0000  2 Rh 2.65

Values from the calculation:
total magnetic moment	0.00	μB/f.u.
space group	Pm-3m

***

Q) AlRhPb3: optimized geometry, PBE.

a = 5.2789 Å, b = 5.2789 Å, c = 5.2789 Å
α = 90.00°, β = 90.00°, γ = 90.00°
With the nearest neighbours (Å) after each atom.
Element x y z (fractional)
Al 0.0000 0.0000 0.0000  6 Pb 2.64
Rh 0.5000 0.5000 0.5000  12 Pb 3.73
Pb 0.0000 0.0000 0.5000  2 Al 2.64
Pb 0.0000 0.5000 0.0000  2 Al 2.64
Pb 0.5000 0.0000 0.0000  2 Al 2.64

Values from the calculation:
total magnetic moment	0.00	μB/f.u.
space group	Pm-3m

***

How far above the most stable structure does each one sit? In meV/atom: P) 0; Q) 595.

***

P) AlRuPb3: optimized geometry, PBE.

a = 5.3246 Å, b = 5.3246 Å, c = 5.3246 Å
α = 90.00°, β = 90.00°, γ = 90.00°
With the nearest neighbours (Å) after each atom.
Element x y z (fractional)
Al 0.0000 0.0000 0.0000  6 Pb 2.66
Ru 0.5000 0.5000 0.5000  12 Pb 3.77
Pb 0.0000 0.0000 0.5000  2 Al 2.66
Pb 0.0000 0.5000 0.0000  2 Al 2.66
Pb 0.5000 0.0000 0.0000  2 Al 2.66

Values from the calculation:
total magnetic moment	2.10	μB/f.u.
space group	Pm-3m

***

Q) AlRuPb3: optimized geometry, PBE.

a = 5.2714 Å, b = 5.2714 Å, c = 5.2714 Å
α = 90.00°, β = 90.00°, γ = 90.00°
With the nearest neighbours (Å) after each atom.
Element x y z (fractional)
Al 0.0000 0.0000 0.0000  12 Pb 3.73
Ru 0.5000 0.5000 0.5000  6 Pb 2.64
Pb 0.0000 0.5000 0.5000  2 Ru 2.64
Pb 0.5000 0.0000 0.5000  2 Ru 2.64
Pb 0.5000 0.5000 0.0000  2 Ru 2.64

Values from the calculation:
total magnetic moment	0.00	μB/f.u.
space group	Pm-3m

***

How far above the most stable structure does each one sit? In meV/atom: P) 698; Q) 0.

***

P) AlRuPb2S: optimized geometry, PBE.

a = 5.6193 Å, b = 5.6193 Å, c = 4.2822 Å
α = 90.00°, β = 90.00°, γ = 90.00°
With the nearest neighbours (Å) after each atom.
Element x y z (fractional)
Al 0.0000 0.0000 0.0000  8 Pb 3.53
Ru 0.5000 0.5000 0.0000  2 S 2.14
Pb 0.0000 0.5000 0.5000  2 S 2.81
Pb 0.5000 0.0000 0.5000  2 S 2.81
S 0.5000 0.5000 0.5000  2 Ru 2.14

Values from the calculation:
total magnetic moment	0.00	μB/f.u.
space group	P4/mmm

***

Q) AlRuPb2S: optimized geometry, PBE.

a = 5.5435 Å, b = 5.5435 Å, c = 4.3104 Å
α = 90.00°, β = 90.00°, γ = 90.00°
With the nearest neighbours (Å) after each atom.
Element x y z (fractional)
Al 0.0000 0.0000 0.0000  8 Pb 3.51, 4 S 3.92
Ru 0.5000 0.5000 0.5000  2 S 2.16
Pb 0.0000 0.5000 0.5000  2 Ru 2.77
Pb 0.5000 0.0000 0.5000  2 Ru 2.77
S 0.5000 0.5000 0.0000  2 Ru 2.16

Values from the calculation:
total magnetic moment	0.00	μB/f.u.
space group	P4/mmm

***

How far above the most stable structure does each one sit? In meV/atom: P) 175; Q) 0.

***

P) AlVRu2Pb: optimized geometry, PBE.

a = 4.5014 Å, b = 4.5014 Å, c = 5.1069 Å
α = 90.00°, β = 90.00°, γ = 90.00°
With the nearest neighbours (Å) after each atom.
Element x y z (fractional)
Al 0.0000 0.0000 0.0000  4 Pb 3.18, 8 Ru 3.40
V 0.5000 0.5000 0.5000  4 Ru 2.25
Ru 0.0000 0.5000 0.5000  2 V 2.25
Ru 0.5000 0.0000 0.5000  2 V 2.25
Pb 0.5000 0.5000 0.0000  2 V 2.55

Values from the calculation:
total magnetic moment	0.00	μB/f.u.
space group	P4/mmm

***

Q) AlVRu2Pb: optimized geometry, PBE.

a = 4.4665 Å, b = 4.4665 Å, c = 4.9362 Å
α = 90.00°, β = 90.00°, γ = 90.00°
With the nearest neighbours (Å) after each atom.
Element x y z (fractional)
Al 0.0000 0.0000 0.0000  4 Ru 2.23, 2 Pb 2.47
V 0.5000 0.5000 0.5000  4 Pb 3.16, 8 Ru 3.33
Ru 0.0000 0.5000 0.0000  2 Al 2.23
Ru 0.5000 0.0000 0.0000  2 Al 2.23
Pb 0.0000 0.0000 0.5000  2 Al 2.47

Values from the calculation:
total magnetic moment	0.58	μB/f.u.
space group	P4/mmm

***

How far above the most stable structure does each one sit? In meV/atom: P) 0; Q) 277.

***

P) Al3PbS: optimized geometry, PBE.

a = 4.8367 Å, b = 4.8367 Å, c = 4.8367 Å
α = 90.00°, β = 90.00°, γ = 90.00°
With the nearest neighbours (Å) after each atom.
Element x y z (fractional)
Al 0.0000 0.0000 0.5000  2 S 2.42
Al 0.0000 0.5000 0.0000  2 S 2.42
Al 0.5000 0.0000 0.0000  2 S 2.42
Pb 0.5000 0.5000 0.5000  12 Al 3.42
S 0.0000 0.0000 0.0000  6 Al 2.42

Values from the calculation:
total magnetic moment	0.00	μB/f.u.
space group	Pm-3m

***

Q) Al3PbS: optimized geometry, PBE.

a = 5.4161 Å, b = 5.4161 Å, c = 5.4161 Å
α = 90.00°, β = 90.00°, γ = 90.00°
With the nearest neighbours (Å) after each atom.
Element x y z (fractional)
Al 0.0000 0.0000 0.5000  2 Pb 2.71
Al 0.0000 0.5000 0.0000  2 Pb 2.71
Al 0.5000 0.0000 0.0000  2 Pb 2.71
Pb 0.0000 0.0000 0.0000  6 Al 2.71
S 0.5000 0.5000 0.5000  12 Al 3.83

Values from the calculation:
total magnetic moment	0.00	μB/f.u.
space group	Pm-3m

***

How far above the most stable structure does each one sit? In meV/atom: P) 0; Q) 687.

***

P) AlSbPb: optimized geometry, PBE.

a = 4.9595 Å, b = 4.9595 Å, c = 4.9595 Å
α = 60.00°, β = 60.00°, γ = 60.00°
With the nearest neighbours (Å) after each atom.
Element x y z (fractional)
Al 0.0000 0.0000 0.0000  4 Pb 3.04, 4 Sb 3.04
Sb 0.2500 0.2500 0.2500  4 Al 3.04
Pb 0.7500 0.7500 0.7500  4 Al 3.04

Values from the calculation:
total magnetic moment	0.00	μB/f.u.
space group	F-43m

***

Q) AlSbPb: optimized geometry, PBE.

a = 6.5219 Å, b = 6.5219 Å, c = 6.5219 Å
α = 148.89°, β = 145.94°, γ = 46.79°
With the nearest neighbours (Å) after each atom.
Element x y z (fractional)
Al 0.0000 0.0000 0.0000  4 Sb 2.93, 4 Pb 3.21
Sb 0.3858 0.3858 0.0000  4 Al 2.93, 1 Pb 3.26
Pb 0.6582 0.6582 0.0000  4 Al 3.21, 1 Sb 3.26, 2 Pb 3.50

Values from the calculation:
total magnetic moment	0.00	μB/f.u.
space group	Imm2

***

R) AlSbPb: optimized geometry, PBE.

a = 5.2824 Å, b = 5.2824 Å, c = 3.2399 Å
α = 90.00°, β = 90.00°, γ = 120.00°
With the nearest neighbours (Å) after each atom.
Element x y z (fractional)
Al 0.0000 0.0000 0.0000  3 Sb 3.05, 2 Al 3.24
Sb 0.3333 0.6667 0.9998  3 Al 3.05, 2 Sb 3.24
Pb 0.6667 0.3333 0.5057  2 Pb 3.24, 6 Sb 3.44-3.46, 6 Al 3.44-3.46

Values from the calculation:
total magnetic moment	0.00	μB/f.u.
space group	P3m1

***

S) AlSbPb: optimized geometry, PBE.

a = 3.4067 Å, b = 3.4067 Å, c = 8.1119 Å
α = 90.00°, β = 90.00°, γ = 120.00°
With the nearest neighbours (Å) after each atom.
Element x y z (fractional)
Al 0.0000 0.0000 0.0000  3 Sb 2.91, 3 Pb 3.16
Sb 0.3333 0.6667 0.7349  3 Al 2.91
Pb 0.6667 0.3333 0.3041  3 Al 3.16, 6 Pb 3.41

Values from the calculation:
total magnetic moment	0.00	μB/f.u.
space group	P3m1

***

How far above the most stable structure does each one sit? In meV/atom: P) 45; Q) 0; R) 68; S) 59.